[1]
First-principles (PBE-GGA) data for crystalline YMn2Cd at its relaxed geometry, as listed in Alexandria.

abc: 5.690 5.690 5.690
angles: 44.39 44.39 44.39
Fractional coordinates of all 4 atoms:
Y  0.000  0.000  0.000
Mn  0.458  0.458  0.458
Mn  0.791  0.791  0.791
Cd  0.208  0.208  0.208

Energy relative to the elements ... 0.6 eV per formula unit
Fermi-level density of states ... 4.028 states/eV per cell

[2]
First-principles (PBE-GGA) data for crystalline SiOsSe at its relaxed geometry, as listed in Alexandria.

abc: 3.164 3.164 5.497
angles: 90.00 90.00 120.00
Fractional coordinates of all 3 atoms:
Si  0.000  0.000  0.000
Os  0.667  0.333  0.290
Se  0.333  0.667  0.646

Fermi-level density of states ... 1.683 states/eV per cell
Raw formation energy ... 0.27 eV per atom

[3]
First-principles (PBE-GGA) data for crystalline Pr3Mg2Ru at its relaxed geometry, as listed in Alexandria.

abc: 5.566 7.192 9.181
angles: 90.00 107.52 90.00
Fractional coordinates of all 12 atoms:
Pr  0.003  0.250  0.000
Pr  0.371  0.000  0.743
Pr  0.371  0.500  0.743
Pr  0.629  0.000  0.257
Pr  0.629  0.500  0.257
Pr  0.997  0.750  0.000
Mg  0.201  0.250  0.402
Mg  0.201  0.750  0.402
Mg  0.799  0.250  0.598
Mg  0.799  0.750  0.598
Ru  0.497  0.750  0.000
Ru  0.503  0.250  0.000

Energy relative to the elements ... -0.6 eV per formula unit
Fermi-level density of states ... 8.866 states/eV per cell

[4]
First-principles (PBE-GGA) data for crystalline TaTiNb at its relaxed geometry, as listed in Alexandria.

abc: 6.911 6.296 7.321
angles: 60.45 52.41 67.14
Fractional coordinates of all 12 atoms:
Ta  0.197  0.803  0.433
Ta  0.683  0.817  0.447
Ta  0.803  0.197  0.567
Ta  0.817  0.683  0.053
Ti  0.016  0.155  0.109
Ti  0.141  0.531  0.234
Ti  0.155  0.016  0.719
Ti  0.531  0.141  0.095
Nb  0.349  0.482  0.781
Nb  0.469  0.862  0.901
Nb  0.482  0.349  0.388
Nb  0.862  0.469  0.768

Energy relative to the elements ... 0.6 eV per formula unit
Fermi-level density of states ... 16.573 states/eV per cell

[5]
First-principles (PBE-GGA) data for crystalline Ta2BeRu at its relaxed geometry, as listed in Alexandria.

abc: 4.038 5.103 5.103
angles: 35.33 90.00 90.00
Fractional coordinates of all 4 atoms:
Ta  0.000  0.000  0.000
Ta  0.500  0.299  0.299
Be  0.500  0.568  0.568
Ru  0.000  0.723  0.723

Energy relative to the elements ... -0.5 eV per formula unit
Fermi-level density of states ... 2.400 states/eV per cell

[6]
First-principles (PBE-GGA) data for crystalline SmTmMgGe at its relaxed geometry, as listed in Alexandria.

abc: 5.154 5.154 5.154
angles: 60.00 60.00 60.00
Fractional coordinates of all 4 atoms:
Sm  0.000  0.000  0.000
Tm  0.500  0.500  0.500
Mg  0.250  0.250  0.250
Ge  0.750  0.750  0.750

Energy relative to the elements ... -1.4 eV per formula unit
Fermi-level density of states ... 3.721 states/eV per cell

[7]
First-principles (PBE-GGA) data for crystalline BeZn2Tc at its relaxed geometry, as listed in Alexandria.

abc: 8.574 8.574 8.574
angles: 18.09 18.09 18.09
Fractional coordinates of all 4 atoms:
Be  0.000  0.000  0.000
Zn  0.256  0.256  0.256
Zn  0.744  0.744  0.744
Tc  0.500  0.500  0.500

Energy relative to the elements ... 0.9 eV per formula unit
Fermi-level density of states ... 0.695 states/eV per cell

[8]
First-principles (PBE-GGA) data for crystalline Pr8Ir3Br3Cl at its relaxed geometry, as listed in Alexandria.

abc: 8.816 8.816 8.816
angles: 58.33 58.33 58.33
Fractional coordinates of all 15 atoms:
Pr  0.207  0.756  0.756
Pr  0.233  0.233  0.233
Pr  0.244  0.244  0.793
Pr  0.244  0.793  0.244
Pr  0.756  0.207  0.756
Pr  0.756  0.756  0.207
Pr  0.767  0.767  0.767
Pr  0.793  0.244  0.244
Ir  0.000  0.000  0.500
Ir  0.000  0.500  0.000
Ir  0.500  0.000  0.000
Br  0.000  0.500  0.500
Br  0.500  0.000  0.500
Br  0.500  0.500  0.000
Cl  0.500  0.500  0.500

Fermi-level density of states ... 6.581 states/eV per cell
Raw formation energy ... -1.00 eV per atom